No. 1
LaW2Se: relaxed, PBE-GGA.

a = 4.8246 Å, b = 4.8246 Å, c = 4.8246 Å
α = 60.00°, β = 60.00°, γ = 60.00°
Sites, in units of the cell vectors:
W1 0.7500 0.7500 0.7500
W2 0.0000 0.0000 0.0000
Se1 0.2500 0.2500 0.2500
La1 0.5000 0.5000 0.5000

Properties
E_form (uncorrected) = 0.619 eV per atom
Fermi-level density of states = 1.017 states/eV per atom
calculated total energy = -7.961 eV/atom



No. 2
LaWSe3: relaxed, PBE-GGA.

a = 4.9694 Å, b = 4.9694 Å, c = 4.9694 Å
α = 90.00°, β = 90.00°, γ = 90.00°
Sites, in units of the cell vectors:
Se1 0.5000 0.0000 0.0000
Se2 0.0000 0.5000 0.0000
Se3 0.0000 0.0000 0.5000
W1 0.0000 0.0000 0.0000
La1 0.5000 0.5000 0.5000

Properties
E_form (uncorrected) = -0.568 eV per atom
Fermi-level density of states = 0.916 states/eV per atom
calculated total energy = -6.234 eV/atom



No. 3
LaW2Se: relaxed, PBE-GGA.

a = 8.5614 Å, b = 8.5614 Å, c = 8.5614 Å
α = 23.47°, β = 23.47°, γ = 23.47°
Sites, in units of the cell vectors:
La1 0.5000 0.5000 0.5000
W1 0.2655 0.2655 0.2655
W2 0.9975 0.9975 0.9975
Se1 0.7370 0.7370 0.7370

Properties
E_form (uncorrected) = 0.249 eV per atom
Fermi-level density of states = 0.661 states/eV per atom
calculated total energy = -8.330 eV/atom



No. 4
LaW4Se8: relaxed, PBE-GGA.

a = 6.7894 Å, b = 6.7894 Å, c = 8.6659 Å
α = 90.00°, β = 113.06°, γ = 120.00°
Sites, in units of the cell vectors:
Se1 0.5210 0.2605 0.7815
Se2 0.9831 0.7472 0.2190
Se3 0.4718 0.2359 0.2190
Se4 0.9831 0.2359 0.2190
Se5 0.0169 0.7641 0.7810
Se6 0.4790 0.7395 0.2185
Se7 0.0169 0.2528 0.7810
Se8 0.5282 0.7641 0.7810
W1 0.0000 0.0000 0.0000
W2 0.5000 0.0000 0.0000
W3 0.0000 0.5000 0.0000
W4 0.5000 0.5000 0.0000
La1 0.0000 0.5000 0.5000

Properties
E_form (uncorrected) = -0.353 eV per atom
Fermi-level density of states = 0.984 states/eV per atom
calculated total energy = -6.862 eV/atom



> The lowest E_form (uncorrected) belongs to which entry?

LaWSe3



What did the third record say?
LaW2Se: relaxed, PBE-GGA.

a = 8.5614 Å, b = 8.5614 Å, c = 8.5614 Å
α = 23.47°, β = 23.47°, γ = 23.47°
Sites, in units of the cell vectors:
La1 0.5000 0.5000 0.5000
W1 0.2655 0.2655 0.2655
W2 0.9975 0.9975 0.9975
Se1 0.7370 0.7370 0.7370

Properties
E_form (uncorrected) = 0.249 eV per atom
Fermi-level density of states = 0.661 states/eV per atom
calculated total energy = -8.330 eV/atom



> Among the records above, which one has the lowest E_form (uncorrected)?

LaWSe3



Please write out number 1 again, unchanged.
LaW2Se: relaxed, PBE-GGA.

a = 4.8246 Å, b = 4.8246 Å, c = 4.8246 Å
α = 60.00°, β = 60.00°, γ = 60.00°
Sites, in units of the cell vectors:
W1 0.7500 0.7500 0.7500
W2 0.0000 0.0000 0.0000
Se1 0.2500 0.2500 0.2500
La1 0.5000 0.5000 0.5000

Properties
E_form (uncorrected) = 0.619 eV per atom
Fermi-level density of states = 1.017 states/eV per atom
calculated total energy = -7.961 eV/atom